1.
DFT (PBE) results for a relaxed structure of Nd2Nb3Ge4.

Properties
Its space group is P2_1/c, No. 14. The calculated formation energy is -0.6933 eV/atom. The total magnetization is 0.0 Bohr magnetons per cell. The value obtained for the calculated total energy is -128.9 eV/cell.

a b c (Å): 7.169 7.285 7.284
angles (deg): 90.00 90.00 109.28
Atoms (fractional coordinates):
Nb (0.000, 0.500, 0.500)
Nb (0.748, 0.259, 0.828)
Nb (0.252, 0.741, 0.172)
Nb (0.248, 0.259, 0.672)
Nb (0.500, 0.500, 0.000)
Nb (0.752, 0.741, 0.328)
Ge (0.133, 0.504, 0.869)
Ge (0.864, 0.089, 0.543)
Ge (0.364, 0.089, 0.957)
Ge (0.867, 0.496, 0.131)
Ge (0.136, 0.911, 0.457)
Ge (0.633, 0.504, 0.631)
Ge (0.636, 0.911, 0.043)
Ge (0.367, 0.496, 0.369)
Nd (0.940, 0.814, 0.830)
Nd (0.060, 0.186, 0.170)
Nd (0.560, 0.186, 0.330)
Nd (0.440, 0.814, 0.670)

2.
DFT (PBE) results for a relaxed structure of LiRu3.

Properties
Its space group is I4/mmm, No. 139. The calculated formation energy is 0.3183 eV/atom. The total magnetization is 0.0 Bohr magnetons per cell. The value obtained for the calculated total energy is -56.9 eV/cell.

a b c (Å): 8.098 8.098 8.098
angles (deg): 153.31 153.31 38.10
Atoms (fractional coordinates):
Ru (0.876, 0.876, 0.000)
Ru (0.750, 0.250, 0.500)
Ru (0.500, 0.000, 0.500)
Ru (0.124, 0.124, 0.000)
Ru (0.250, 0.750, 0.500)
Ru (0.000, 0.500, 0.500)
Li (0.377, 0.377, 0.000)
Li (0.623, 0.623, 0.000)

3.
DFT (PBE) results for a relaxed structure of GdEr2Mg.

Properties
Its space group is P4/mmm, No. 123. The calculated formation energy is 0.0195 eV/atom. The energy above the most stable polymorph in this dataset is 37 meV per atom. The total magnetization is 8.2 Bohr magnetons per cell. The value obtained for the calculated total energy is -24.7 eV/cell.

a b c (Å): 4.946 4.876 4.876
angles (deg): 90.00 90.00 90.00
Site moments in Bohr magnetons follow the coordinates.
Atoms (fractional coordinates):
Er (0.000, 0.500, 0.000)  0.21
Er (0.000, 0.000, 0.500)  0.21
Mg (0.500, 0.000, 0.000)  0.00
Gd (0.500, 0.500, 0.500)  7.31

4.
DFT (PBE) results for a relaxed structure of AgSbPd2.

Properties
Its space group is P4/mmm, No. 123. The raw formation energy is -0.2336 eV/atom. The total magnetization is 0.0 Bohr magnetons per cell. The value obtained for the calculated total energy is -18.3 eV/cell.

a b c (Å): 3.458 3.458 5.990
angles (deg): 90.00 90.00 90.00
Atoms (fractional coordinates):
Pd (0.000, 0.000, 0.246)
Pd (0.000, 0.000, 0.754)
Sb (0.500, 0.500, 0.000)
Ag (0.500, 0.500, 0.500)

What is the calculated total energy in the third record? -24.7 eV/cell

What is the formula in the third record? GdEr2Mg